[1]
{"formula": "La5AlHg4", "functional": "PBE-GGA", "state": "relaxed", "mass_density_kg_m3": 8601, "e_form_mev_per_atom": -472, "crystal_system": "tetragonal", "final_energy_ev_per_atom": -3.4305, "dos_at_fermi_per_ev_cell": 10.57, "cell": [[3.878, 0.000, 0.000], [0.000, 3.878, 0.000], [0.000, 0.000, 19.559]], "species": ["Hg", "Al", "La", "La", "La", "Hg", "Hg", "La", "Hg", "La"], "frac_coords": [[0.000, 0.000, 0.601], [0.000, 0.000, 0.000], [0.500, 0.500, 0.702], [0.500, 0.500, 0.500], [0.500, 0.500, 0.298], [0.000, 0.000, 0.805], [0.000, 0.000, 0.195], [0.500, 0.500, 0.093], [0.000, 0.000, 0.399], [0.500, 0.500, 0.907]]}

[2]
{"formula": "La4AlHg3", "functional": "PBE-GGA", "state": "relaxed", "mass_density_kg_m3": 8403, "e_form_mev_per_atom": -465, "crystal_system": "tetragonal", "final_energy_ev_per_atom": -3.5093, "dos_at_fermi_per_ev_cell": 8.12, "cell": [[3.864, 0.000, 0.000], [0.000, 3.864, 0.000], [0.000, 0.000, 15.676]], "species": ["Hg", "La", "Al", "La", "Hg", "Hg", "La", "La"], "frac_coords": [[0.500, 0.500, 0.244], [0.000, 0.000, 0.628], [0.500, 0.500, 0.000], [0.000, 0.000, 0.117], [0.500, 0.500, 0.500], [0.500, 0.500, 0.756], [0.000, 0.000, 0.883], [0.000, 0.000, 0.372]]}

[3]
{"formula": "LaAl2Hg2", "functional": "PBE-GGA", "state": "relaxed", "mass_density_kg_m3": 8465, "polymorph_energy_mev_per_atom": 286, "e_form_mev_per_atom": -95, "crystal_system": "tetragonal", "final_energy_ev_per_atom": -2.6978, "dos_at_fermi_per_ev_cell": 5.91, "cell": [[8.461, 0.000, 0.000], [0.000, 8.461, 0.000], [0.000, 0.000, 3.256]], "species": ["Hg", "Hg", "Al", "Al", "Al", "La", "Hg", "La", "Al", "Hg"], "frac_coords": [[0.131, 0.369, 0.000], [0.631, 0.131, 0.000], [0.332, 0.168, 0.500], [0.668, 0.832, 0.500], [0.832, 0.332, 0.500], [0.500, 0.500, 0.000], [0.369, 0.869, 0.000], [0.000, 0.000, 0.000], [0.168, 0.668, 0.500], [0.869, 0.631, 0.000]]}

[4]
{"formula": "LaAlHg2", "functional": "PBE-GGA", "state": "relaxed", "mass_density_kg_m3": 9216, "e_form_mev_per_atom": -264, "crystal_system": "monoclinic", "final_energy_ev_per_atom": -2.5821, "dos_at_fermi_per_ev_cell": 2.48, "cell": [[4.797, 0.000, 0.000], [0.000, 3.393, -0.141], [0.000, 0.247, 6.268]], "species": ["La", "Al", "Hg", "Hg"], "frac_coords": [[0.500, 0.250, 0.250], [0.500, 0.750, 0.750], [0.000, 0.751, 0.508], [0.000, 0.749, 0.992]]}

[5]
{"formula": "La5Al2Hg", "functional": "PBE-GGA", "state": "relaxed", "mass_density_kg_m3": 6251, "e_form_mev_per_atom": -304, "crystal_system": "tetragonal", "final_energy_ev_per_atom": -4.3574, "dos_at_fermi_per_ev_cell": 18.47, "cell": [[-5.802, -5.535, 0.538], [-0.736, -0.007, -8.003], [8.623, -2.889, 3.245]], "species": ["La", "Hg", "La", "Al", "La", "La", "La", "Al", "La", "La", "La", "La", "Hg", "La", "Al", "Al"], "frac_coords": [[0.974, 0.474, 0.294], [0.750, 0.750, 0.500], [0.500, 0.500, 0.000], [0.616, 0.116, 0.000], [0.680, 0.180, 0.706], [0.526, 0.680, 0.706], [0.820, 0.974, 0.294], [0.884, 0.616, 0.000], [0.026, 0.526, 0.706], [0.000, 0.000, 0.000], [0.474, 0.320, 0.294], [0.320, 0.820, 0.294], [0.250, 0.250, 0.500], [0.180, 0.026, 0.706], [0.384, 0.884, 0.000], [0.116, 0.384, 0.000]]}

[6]
{"formula": "LaAlHg2", "functional": "PBE-GGA", "state": "relaxed", "mass_density_kg_m3": 9256, "e_form_mev_per_atom": -282, "crystal_system": "tetragonal", "final_energy_ev_per_atom": -2.6000, "dos_at_fermi_per_ev_cell": 4.70, "cell": [[-2.529, 1.998, -3.293], [-3.889, -1.890, 1.839], [-0.553, 3.789, 2.724]], "species": ["Al", "Hg", "La", "Hg"], "frac_coords": [[0.500, 0.000, 0.500], [0.000, 0.500, 0.500], [0.500, 0.500, 0.000], [0.000, 0.000, 0.000]]}

[7]
{"formula": "La2Al2Hg", "functional": "PBE-GGA", "state": "relaxed", "mass_density_kg_m3": 6581, "e_form_mev_per_atom": -441, "crystal_system": "monoclinic", "final_energy_ev_per_atom": -3.9689, "dos_at_fermi_per_ev_cell": 7.86, "cell": [[4.781, 0.000, 0.000], [2.390, 5.629, -0.337], [2.390, 0.279, 9.966]], "species": ["Hg", "La", "Al", "La", "Al", "La", "Al", "Hg", "La", "Al"], "frac_coords": [[0.381, 0.891, 0.347], [0.088, 0.732, 0.092], [0.923, 0.713, 0.442], [0.912, 0.268, 0.908], [0.628, 0.858, 0.886], [0.685, 0.302, 0.328], [0.077, 0.287, 0.558], [0.619, 0.109, 0.653], [0.315, 0.698, 0.672], [0.372, 0.142, 0.114]]}

[8]
{"formula": "Li2LaAlHg4", "functional": "PBE-GGA", "state": "relaxed", "mass_density_kg_m3": 9108, "e_form_mev_per_atom": -324, "crystal_system": "trigonal", "final_energy_ev_per_atom": -2.0373, "dos_at_fermi_per_ev_cell": 2.91, "cell": [[4.654, 0.000, 0.000], [2.327, 4.030, 0.000], [2.327, 1.343, 9.546]], "species": ["Li", "Hg", "La", "Al", "Li", "Hg", "Hg", "Hg"], "frac_coords": [[0.770, 0.770, 0.690], [0.396, 0.396, 0.812], [0.000, 0.000, 0.000], [0.500, 0.500, 0.500], [0.230, 0.230, 0.310], [0.124, 0.124, 0.628], [0.604, 0.604, 0.188], [0.876, 0.876, 0.372]]}

Please write out number 5 again, unchanged.
{"formula": "La5Al2Hg", "functional": "PBE-GGA", "state": "relaxed", "mass_density_kg_m3": 6251, "e_form_mev_per_atom": -304, "crystal_system": "tetragonal", "final_energy_ev_per_atom": -4.3574, "dos_at_fermi_per_ev_cell": 18.47, "cell": [[-5.802, -5.535, 0.538], [-0.736, -0.007, -8.003], [8.623, -2.889, 3.245]], "species": ["La", "Hg", "La", "Al", "La", "La", "La", "Al", "La", "La", "La", "La", "Hg", "La", "Al", "Al"], "frac_coords": [[0.974, 0.474, 0.294], [0.750, 0.750, 0.500], [0.500, 0.500, 0.000], [0.616, 0.116, 0.000], [0.680, 0.180, 0.706], [0.526, 0.680, 0.706], [0.820, 0.974, 0.294], [0.884, 0.616, 0.000], [0.026, 0.526, 0.706], [0.000, 0.000, 0.000], [0.474, 0.320, 0.294], [0.320, 0.820, 0.294], [0.250, 0.250, 0.500], [0.180, 0.026, 0.706], [0.384, 0.884, 0.000], [0.116, 0.384, 0.000]]}